1.
The following is a DFT calculation (GGA-PBE) of a relaxed structure of Rb3As.

Cell: 6.154 6.154 10.861 Å, 90.00 90.00 120.00°
Positions (direct):
Rb (0.000, 0.000, 0.250)
Rb (0.000, 0.000, 0.750)
Rb (0.333, 0.667, 0.078)
Rb (0.333, 0.667, 0.422)
Rb (0.667, 0.333, 0.578)
Rb (0.667, 0.333, 0.922)
As (0.333, 0.667, 0.750)
As (0.667, 0.333, 0.250)

- Uncorrected energy: -2.15 eV per atom
- Crystal system: hexagonal

***

2.
The following is a DFT calculation (GGA-PBE) of a relaxed structure of Rb3As.

Cell: 5.531 5.531 5.531 Å, 90.00 90.00 90.00°
Positions (direct):
Rb (0.000, 0.000, 0.000)
Rb (0.000, 0.500, 0.499)
Rb (0.500, 0.000, 0.501)
As (0.500, 0.500, 0.000)

- Uncorrected energy: -1.95 eV per atom
- Crystal system: tetragonal

***

3.
The following is a DFT calculation (GGA-PBE) of a relaxed structure of RbReAs3.

Cell: 5.195 5.195 5.195 Å, 90.00 90.00 90.00°
Positions (direct):
Rb (0.000, 0.000, 0.000)
Re (0.500, 0.500, 0.500)
As (0.000, 0.000, 0.500)
As (0.000, 0.500, 0.000)
As (0.500, 0.000, 0.000)

- Crystal system: cubic
- Excess energy over the best structure of this formula in the dataset: 2673 meV per atom

***

4.
The following is a DFT calculation (GGA-PBE) of a relaxed structure of Rb6ReAs4.

Cell: 10.811 10.811 8.455 Å, 90.00 90.00 120.00°
Positions (direct):
Rb (0.063, 0.532, 0.000)
Rb (0.140, 0.280, 0.683)
Rb (0.140, 0.860, 0.683)
Rb (0.280, 0.140, 0.183)
Rb (0.468, 0.532, 0.000)
Rb (0.468, 0.937, 0.000)
Rb (0.532, 0.063, 0.500)
Rb (0.532, 0.468, 0.500)
Rb (0.720, 0.860, 0.683)
Rb (0.860, 0.140, 0.183)
Rb (0.860, 0.720, 0.183)
Rb (0.937, 0.468, 0.500)
Re (0.333, 0.667, 0.394)
Re (0.667, 0.333, 0.894)
As (0.213, 0.426, 0.302)
As (0.213, 0.787, 0.302)
As (0.333, 0.667, 0.677)
As (0.426, 0.213, 0.802)
As (0.574, 0.787, 0.302)
As (0.667, 0.333, 0.177)
As (0.787, 0.213, 0.802)
As (0.787, 0.574, 0.802)

- Uncorrected energy: -3.68 eV per atom
- Crystal system: hexagonal